The following is a DFT calculation (PBE) of a relaxed structure of Ta2BeSi.

Results
The value obtained for the magnetic moment is 0.00 μB/atom.

a = 3.4944 Å, b = 3.4717 Å, c = 9.3365 Å
α = 90.00°, β = 90.00°, γ = 90.00°
Space group Amm2 (No. 38)
Symmetry-distinct sites (fractional):
Ta: 0.0000 0.0000 0.0000 [2 per cell]
Ta: 0.5000 0.0000 0.3038 [2 per cell]
Be: 0.5000 0.0000 0.5744 [2 per cell]
Si: 0.0000 0.0000 0.7161 [2 per cell]

---

The following is a DFT calculation (PBE) of a relaxed structure of DyPa2Ni6.

Results
Its formation enthalpy at 0 K is -3.1 eV/f.u. The value obtained for the magnetic moment is 0.00 μB/atom.

a = 7.1666 Å, b = 7.1666 Å, c = 3.3743 Å
α = 90.00°, β = 90.00°, γ = 120.00°
Space group P6/mmm (No. 191)
Symmetry-distinct sites (fractional):
Dy: 0.0000 0.0000 0.0000 [1 per cell]
Pa: 0.3333 0.6667 0.0000 [2 per cell]
Ni: 0.0000 0.3369 0.5000 [6 per cell]

---

The following is a DFT calculation (PBE) of a relaxed structure of Ce6Hg6Pb.

Results
Its formation enthalpy at 0 K is -2.3 eV/f.u. The value obtained for the magnetic moment is 0.11 μB/atom.

a = 6.0603 Å, b = 6.0603 Å, c = 11.2740 Å
α = 90.00°, β = 90.00°, γ = 120.00°
Space group P6/mmm (No. 191)
Symmetry-distinct sites (fractional):
Ce: 0.0000 0.0000 0.1189 [2 per cell]
Ce: 0.3333 0.6667 0.0000 [2 per cell]
Ce: 0.3333 0.6667 0.5000 [2 per cell]
Hg: 0.0000 0.5000 0.2528 [6 per cell]
Pb: 0.0000 0.0000 0.5000 [1 per cell]

---

The following is a DFT calculation (PBE) of a relaxed structure of SrReBr3.

Results
The value obtained for the magnetic moment is 1.20 μB/atom.

a = 5.9073 Å, b = 5.9073 Å, c = 5.9073 Å
α = 90.00°, β = 90.00°, γ = 90.00°
Space group Pm-3m (No. 221)
Symmetry-distinct sites (fractional):
Sr: 0.0000 0.0000 0.0000 [1 per cell]
Re: 0.5000 0.5000 0.5000 [1 per cell]
Br: 0.0000 0.0000 0.5000 [3 per cell]

---

The following is a DFT calculation (PBE) of a relaxed structure of Al2Si2Se.

Results
The value obtained for the magnetic moment is 0.00 μB/atom.

a = 3.5585 Å, b = 3.5585 Å, c = 13.6055 Å
α = 90.00°, β = 90.00°, γ = 90.00°
Space group I4/mmm (No. 139)
Symmetry-distinct sites (fractional):
Al: 0.0000 0.0000 0.1024 [4 per cell]
Si: 0.0000 0.5000 0.2500 [4 per cell]
Se: 0.0000 0.0000 0.5000 [2 per cell]

---

The following is a DFT calculation (PBE) of a relaxed structure of ZrCr2Se.

Results
The value obtained for the magnetic moment is 1.27 μB/atom.

a = 3.2373 Å, b = 3.2373 Å, c = 24.0437 Å
α = 90.00°, β = 90.00°, γ = 120.00°
Space group R-3m (No. 166, hexagonal axes)
Symmetry-distinct sites (fractional):
Zr: 0.0000 0.0000 0.0000 [3 per cell]
Cr: 0.0000 0.0000 0.2406 [6 per cell]
Se: 0.0000 0.0000 0.5000 [3 per cell]

---

The following is a DFT calculation (PBE) of a relaxed structure of SrSbO3.

Results
The value obtained for the magnetic moment is 0.00 μB/atom.

a = 3.3283 Å, b = 6.2411 Å, c = 8.0101 Å
α = 90.00°, β = 90.00°, γ = 90.00°
Space group Pmmn (No. 59, origin choice 2)
Symmetry-distinct sites (fractional):
Sr: 0.2500 0.2500 0.1560 [2 per cell]
Sb: 0.2500 0.7500 0.3009 [2 per cell]
O: 0.2500 0.0304 0.6899 [4 per cell]
O: 0.2500 0.7500 0.0581 [2 per cell]

---

The following is a DFT calculation (PBE) of a relaxed structure of SrBeAs2Pb.

Results
Its formation enthalpy at 0 K is 0.5 eV/f.u. The value obtained for the magnetic moment is 0.00 μB/atom.

a = 4.6548 Å, b = 4.6548 Å, c = 5.4855 Å
α = 90.00°, β = 90.00°, γ = 90.00°
Space group P4/mmm (No. 123)
Symmetry-distinct sites (fractional):
Sr: 0.0000 0.0000 0.0000 [1 per cell]
Be: 0.0000 0.0000 0.5000 [1 per cell]
As: 0.0000 0.5000 0.5000 [2 per cell]
Pb: 0.5000 0.5000 0.0000 [1 per cell]

---

no.,density of states at the Fermi level (states/eV/cell),electronic total energy (eV per atom),calculated density (g/cm³)
1,2.1,-8.760,11.70
2,10.6,-6.818,10.81
3,32.6,-3.337,10.43
4,0.0,-3.792,4.14
5,3.5,-4.317,3.65
6,15.4,-7.549,6.26
7,2.9,-5.928,5.14
8,3.4,-3.589,6.34